[1]
First-principles (PBE-GGA) data for an optimized crystal structure of HfNb3Mo2, as listed in Alexandria via LeMat-Bulk.

Summary:
* Fermi-level density of states: 1.05 states/eV per atom
* energy relative to the elements: -0.0779 eV per atom

Cell: 3.259 3.259 10.121 Å, 90.00 90.00 90.00°
Space group P4/mmm (No. 123)
Symmetry-distinct sites (fractional):
1 Hf 0.000 0.000 0.000
2 Nb 0.500 0.500 0.188
3 Nb 0.500 0.500 0.500
4 Mo 0.000 0.000 0.338

***

[2]
First-principles (PBE-GGA) data for an optimized crystal structure of HfNb3Mo, as listed in Alexandria via LeMat-Bulk.

Summary:
* Fermi-level density of states: 1.38 states/eV per atom
* energy relative to the elements: 1.0446 eV per atom

Cell: 5.168 5.168 17.770 Å, 90.00 90.00 90.00°
Space group I-4m2 (No. 119)
Symmetry-distinct sites (fractional):
1 Hf 0.000 0.000 0.175
2 Nb 0.000 0.251 0.625
3 Nb 0.000 0.500 0.040
4 Mo 0.000 0.000 0.500
5 Mo 0.000 0.500 0.750

***

[3]
First-principles (PBE-GGA) data for an optimized crystal structure of HfNb2Mo, as listed in Alexandria via LeMat-Bulk.

Summary:
* Fermi-level density of states: 1.25 states/eV per atom
* energy relative to the elements: -0.0391 eV per atom

Cell: 3.261 3.261 6.943 Å, 90.00 90.00 90.00°
Space group P4/mmm (No. 123)
Symmetry-distinct sites (fractional):
1 Hf 0.000 0.000 0.000
2 Nb 0.500 0.500 0.275
3 Mo 0.000 0.000 0.500

***

[4]
First-principles (PBE-GGA) data for an optimized crystal structure of HfNbMo4, as listed in Alexandria via LeMat-Bulk.

Summary:
* Fermi-level density of states: 0.61 states/eV per atom
* energy relative to the elements: -0.1279 eV per atom

Cell: 4.544 9.867 4.543 Å, 90.00 90.00 90.00°
Space group Cmmm (No. 65)
Symmetry-distinct sites (fractional):
1 Hf 0.000 0.000 0.000
2 Nb 0.000 0.500 0.500
3 Mo 0.000 0.174 0.500
4 Mo 0.000 0.325 0.000